(1)
Tb2Pm2Al3 | PBE | relaxed

POSCAR file:
```
Tb2Pm2Al3
1.0
1.7324 -15.4596 0.0000
1.7324 15.4596 0.0000
0.0000 0.0000 3.4544
Tb Pm Al
2 2 3
direct
0.1973 0.8027 0.0000 Tb
0.8027 0.1973 0.0000 Tb
0.0667 0.9333 0.0000 Pm
0.9333 0.0667 0.0000 Pm
0.3644 0.6356 0.5000 Al
0.5000 0.5000 0.5000 Al
0.6356 0.3644 0.5000 Al
```

Computed properties:
**Space group**: Cmmm (65)

(2)
Tb3PmAl | PBE | relaxed

POSCAR file:
```
Tb3PmAl
1.0
2.4041 -12.4735 0.0000
2.4041 12.4735 0.0000
0.0000 0.0000 4.7871
Tb Pm Al
6 2 2
direct
0.0508 0.9492 0.7500 Tb
0.2498 0.7502 0.7500 Tb
0.4460 0.5540 0.7500 Tb
0.5540 0.4460 0.2500 Tb
0.7502 0.2498 0.2500 Tb
0.9492 0.0508 0.2500 Tb
0.1500 0.8500 0.2500 Pm
0.8500 0.1500 0.7500 Pm
0.3453 0.6547 0.2500 Al
0.6547 0.3453 0.7500 Al
```

Computed properties:
**Space group**: Cmcm (63)
**Distance to the lowest polymorph of the same formula**: 0.00 kJ/mol of atoms

(3)
Tb4Pm15Al | PBE | relaxed

POSCAR file:
```
Tb4Pm15Al
1.0
5.0651 0.0000 0.0000
0.0000 5.0651 0.0000
0.0000 0.0000 25.5730
Tb Pm Al
4 15 1
direct
0.0000 0.0000 0.1012 Tb
0.0000 0.0000 0.3044 Tb
0.0000 0.0000 0.6956 Tb
0.0000 0.0000 0.8988 Tb
0.0000 0.5000 0.0000 Pm
0.0000 0.5000 0.2033 Pm
0.0000 0.5000 0.4067 Pm
0.0000 0.5000 0.5933 Pm
0.0000 0.5000 0.7967 Pm
0.5000 0.0000 0.0000 Pm
0.5000 0.0000 0.2033 Pm
0.5000 0.0000 0.4067 Pm
0.5000 0.0000 0.5933 Pm
0.5000 0.0000 0.7967 Pm
0.5000 0.5000 0.1020 Pm
0.5000 0.5000 0.3054 Pm
0.5000 0.5000 0.5000 Pm
0.5000 0.5000 0.6946 Pm
0.5000 0.5000 0.8980 Pm
0.0000 0.0000 0.5000 Al
```

Computed properties:
**Space group**: P4/mmm (123)

Number 1: DFT formation energy -0.254 eV per atom, E_tot -4.538 eV per atom, density of states at the Fermi level 0.817 states/eV per atom. Number 2: DFT formation energy -0.102 eV per atom, E_tot -4.579 eV per atom, density of states at the Fermi level 1.414 states/eV per atom. Number 3: DFT formation energy -0.012 eV per atom, E_tot -4.689 eV per atom, density of states at the Fermi level 1.341 states/eV per atom.